A geometry-optimized Ac3La2Te3N2 structure. Source: the Alexandria database, functional GGA-PBE.

Cell: 13.566 13.566 13.566 Å, 159.65 159.65 28.94°
Fractional positions:
Ac1 0.000 0.000 0.000
Ac2 0.373 0.373 0.000
Ac3 0.627 0.627 0.000
La1 0.250 0.750 0.500
La2 0.750 0.250 0.500
Te1 0.136 0.136 0.000
Te2 0.500 0.500 0.000
Te3 0.864 0.864 0.000
N1 0.281 0.281 0.000
N2 0.719 0.719 0.000

space group: No. 139


A geometry-optimized Ac4La2Te3N2 structure. Source: the Alexandria database, functional GGA-PBE.

Cell: 14.166 14.166 14.166 Å, 159.64 159.64 28.95°
Fractional positions:
Ac1 0.084 0.584 0.500
Ac2 0.416 0.916 0.500
Ac3 0.584 0.084 0.500
Ac4 0.916 0.416 0.500
La1 0.195 0.195 0.000
La2 0.805 0.805 0.000
Te1 0.322 0.322 0.000
Te2 0.500 0.500 0.000
Te3 0.678 0.678 0.000
N1 0.112 0.112 0.000
N2 0.888 0.888 0.000

space group: No. 139


A geometry-optimized AcLaTeN structure. Source: the Alexandria database, functional GGA-PBE.

Cell: 7.502 7.502 7.502 Å, 148.90 148.17 45.09°
Fractional positions:
Ac1 0.000 0.000 0.000
La1 0.302 0.302 0.000
Te1 0.655 0.655 0.000
N1 0.396 0.896 0.500

space group: No. 44


A geometry-optimized Ac2La3ThN6 structure. Source: the Alexandria database, functional GGA-PBE.

Cell: 8.512 8.512 7.575 Å, 102.64 102.64 25.64°
Fractional positions:
Ac1 0.166 0.166 0.331
Ac2 0.834 0.834 0.669
La1 0.161 0.161 0.832
La2 0.500 0.500 0.500
La3 0.839 0.839 0.168
Th1 0.500 0.500 0.000
N1 0.003 0.003 0.769
N2 0.341 0.341 0.411
N3 0.348 0.348 0.932
N4 0.652 0.652 0.068
N5 0.659 0.659 0.589
N6 0.997 0.997 0.231

space group: No. 12


A geometry-optimized Ac4LaTh3N8 structure. Source: the Alexandria database, functional GGA-PBE.

Cell: 7.600 7.600 7.600 Å, 59.53 59.53 59.53°
Fractional positions:
Ac1 0.000 0.000 0.000
Ac2 0.000 0.500 0.500
Ac3 0.500 0.000 0.500
Ac4 0.500 0.500 0.000
La1 0.500 0.500 0.500
Th1 0.000 0.000 0.500
Th2 0.000 0.500 0.000
Th3 0.500 0.000 0.000
N1 0.228 0.746 0.746
N2 0.239 0.239 0.239
N3 0.254 0.254 0.772
N4 0.254 0.772 0.254
N5 0.746 0.228 0.746
N6 0.746 0.746 0.228
N7 0.761 0.761 0.761
N8 0.772 0.254 0.254

space group: No. 166


A geometry-optimized AcLa3Th2N6 structure. Source: the Alexandria database, functional GGA-PBE.

Cell: 6.494 6.494 6.474 Å, 99.60 99.60 119.96°
Fractional positions:
Ac1 0.000 0.000 0.000
La1 0.168 0.832 0.500
La2 0.500 0.500 0.500
La3 0.832 0.168 0.500
Th1 0.334 0.666 0.000
Th2 0.666 0.334 0.000
N1 0.080 0.436 0.238
N2 0.281 0.281 0.768
N3 0.436 0.080 0.238
N4 0.564 0.920 0.762
N5 0.719 0.719 0.232
N6 0.920 0.564 0.762

space group: No. 12


A geometry-optimized AcLa4Th3N8 structure. Source: the Alexandria database, functional GGA-PBE.

Cell: 7.463 7.463 7.463 Å, 60.09 60.09 60.09°
Fractional positions:
Ac1 0.000 0.000 0.000
La1 0.000 0.000 0.500
La2 0.000 0.500 0.000
La3 0.500 0.000 0.000
La4 0.500 0.500 0.500
Th1 0.000 0.500 0.500
Th2 0.500 0.000 0.500
Th3 0.500 0.500 0.000
N1 0.254 0.254 0.728
N2 0.254 0.728 0.254
N3 0.257 0.257 0.257
N4 0.272 0.746 0.746
N5 0.728 0.254 0.254
N6 0.743 0.743 0.743
N7 0.746 0.272 0.746
N8 0.746 0.746 0.272

space group: No. 166


A geometry-optimized Ac3LaTh2N6 structure. Source: the Alexandria database, functional GGA-PBE.

Cell: 6.548 6.548 6.599 Å, 99.49 99.49 119.96°
Fractional positions:
Ac1 0.000 0.000 0.000
Ac2 0.334 0.666 0.000
Ac3 0.666 0.334 0.000
La1 0.500 0.500 0.500
Th1 0.167 0.833 0.500
Th2 0.833 0.167 0.500
N1 0.076 0.425 0.275
N2 0.224 0.224 0.719
N3 0.425 0.076 0.275
N4 0.575 0.924 0.725
N5 0.776 0.776 0.281
N6 0.924 0.575 0.725

space group: No. 12


Computed values of VASP energy (unit: eV/cell) for the preceding records, in sequence: -62.6 -64.7 -26.0 -96.0 -131.6 -100.6 -135.5 -98.0.
Computed values of magnetic moment (unit: μB/f.u.) for the preceding records, in sequence: 0.00 0.00 0.95 0.00 0.00 0.00 0.00 0.00.